This record from Alexandria describes ScReTe2 at its PBEsol-relaxed geometry. The functional is meta-GGA SCAN.

a = 9.6539 Å, b = 9.6539 Å, c = 9.6539 Å
α = 19.22°, β = 19.22°, γ = 19.22°
Element x y z (fractional)
Sc (0.0000, 0.0000, 0.0000)
Re (0.5000, 0.5000, 0.5000)
Te (0.4105, 0.4105, 0.4105)
Te (0.5895, 0.5895, 0.5895)

Summary:
Space-group type: R-3m
Formation energy from raw total energies: 0.457 eV/atom
Relative energy among the computed polymorphs: 2.22 eV per formula unit